NaNdMgBr6 | PBE | optimized geometry

* formation energy without anion corrections: -1.657 eV per atom
* crystal system: trigonal
* D(E_F): 0.00 states/eV/cell

a = 7.195 Å, b = 7.195 Å, c = 13.300 Å
α = 90.00°, β = 90.00°, γ = 120.00°
Sites, in units of the cell vectors:
1 Na 0.000 0.000 0.000
2 Na 0.000 0.000 0.500
3 Nd 0.333 0.667 0.250
4 Nd 0.667 0.333 0.750
5 Mg 0.333 0.667 0.750
6 Mg 0.667 0.333 0.250
7 Br 0.021 0.366 0.631
8 Br 0.021 0.656 0.869
9 Br 0.344 0.366 0.869
10 Br 0.344 0.979 0.631
11 Br 0.366 0.021 0.131
12 Br 0.366 0.344 0.369
13 Br 0.634 0.656 0.631
14 Br 0.634 0.979 0.869
15 Br 0.656 0.021 0.369
16 Br 0.656 0.634 0.131
17 Br 0.979 0.344 0.131
18 Br 0.979 0.634 0.369